(1)
Crystalline ZrAgW at its relaxed geometry, computed with GGA-PBE.

energy of formation	0.404	eV per atom
final energy	-7.713	eV per atom
relative energy among the computed polymorphs	0.393	eV per formula unit

a b c (Å): 2.8657 2.8657 7.7827
angles (deg): 90.00 90.00 120.00
With the nearest neighbours (Å) after each atom.
Space group P3m1 (No. 156)
Asymmetric unit:
Zr  0.0000  0.0000  0.0000 (multiplicity 1)  6 Zr 2.87, 3 W 3.12, 3 Ag 3.14
Ag  0.6667  0.3333  0.3425 (multiplicity 1)  6 Ag 2.87, 3 W 2.98, 3 Zr 3.14
W  0.3333  0.6667  0.6605 (multiplicity 1)  6 W 2.87, 3 Ag 2.98, 3 Zr 3.12

(2)
Crystalline ZrAgW at its relaxed geometry, computed with GGA-PBE.

energy of formation	0.300	eV per atom
final energy	-7.817	eV per atom
relative energy among the computed polymorphs	0.081	eV per formula unit

a b c (Å): 2.8203 2.8203 13.8437
angles (deg): 90.00 90.00 90.00
With the nearest neighbours (Å) after each atom.
Space group I4mm (No. 107)
Asymmetric unit:
Zr  0.0000  0.0000  0.0000 (multiplicity 2)  4 Zr 2.82, 4 W 3.05, 4 Ag 3.13
Ag  0.0000  0.0000  0.3254 (multiplicity 2)  4 Ag 2.82, 4 W 2.96, 4 Zr 3.13
W  0.0000  0.0000  0.6672 (multiplicity 2)  4 W 2.82, 4 Ag 2.96, 4 Zr 3.05

(3)
Crystalline ZrAgW2 at its relaxed geometry, computed with GGA-PBE.

energy of formation	0.407	eV per atom
final energy	-8.920	eV per atom
relative energy among the computed polymorphs	0.759	eV per formula unit

a b c (Å): 2.7458 4.2898 6.1101
angles (deg): 90.00 90.00 90.00
With the nearest neighbours (Å) after each atom.
Space group Pmm2 (No. 25)
Asymmetric unit:
Zr  0.0000  0.0000  0.0000 (multiplicity 1)  2 Zr 2.75, 5 W 2.98-3.05, 4 Ag 2.98
Ag  0.5000  0.5000  0.2533 (multiplicity 1)  2 Ag 2.75, 5 W 2.89-3.00, 4 Zr 2.98
W  0.0000  0.0000  0.5131 (multiplicity 1)  6 W 2.75-2.86, 1 Zr 2.98, 4 Ag 3.00
W  0.5000  0.5000  0.7256 (multiplicity 1)  6 W 2.75-2.86, 1 Ag 2.89, 4 Zr 3.05

(4)
Crystalline ZrAgW2 at its relaxed geometry, computed with GGA-PBE.

energy of formation	0.249	eV per atom
final energy	-9.078	eV per atom
relative energy among the computed polymorphs	0.126	eV per formula unit

a b c (Å): 3.2623 3.2623 6.8465
angles (deg): 90.00 90.00 90.00
With the nearest neighbours (Å) after each atom.
Space group P4mm (No. 99)
Asymmetric unit:
Zr  0.0000  0.0000  0.0000 (multiplicity 1)  5 W 2.90-3.13, 4 Ag 3.01
Ag  0.5000  0.5000  0.2827 (multiplicity 1)  5 W 2.91-3.15, 4 Zr 3.01, 4 Ag 3.26
W  0.0000  0.0000  0.5428 (multiplicity 1)  4 W 2.68, 4 Ag 2.91
W  0.5000  0.5000  0.7432 (multiplicity 1)  4 W 2.68, 4 Zr 2.90

(5)
Crystalline ZrAgW2 at its relaxed geometry, computed with GGA-PBE.

energy of formation	0.512	eV per atom
final energy	-8.814	eV per atom
relative energy among the computed polymorphs	1.180	eV per formula unit

a b c (Å): 5.6604 9.2841 2.7170
angles (deg): 90.00 90.00 90.00
With the nearest neighbours (Å) after each atom.
Space group Cmmm (No. 65)
Asymmetric unit:
Zr  0.0000  0.0000  0.0000 (multiplicity 2)  2 Zr 2.72, 2 Ag 2.83, 8 W 3.04
Ag  0.0000  0.5000  0.0000 (multiplicity 2)  2 Ag 2.72, 2 Zr 2.83, 8 W 3.04
W  0.2500  0.2500  0.5000 (multiplicity 4)  4 W 2.72-2.83, 4 Zr 3.04, 4 Ag 3.04

(6)
Crystalline ZrAgW2 at its relaxed geometry, computed with GGA-PBE.

energy of formation	0.401	eV per atom
final energy	-8.925	eV per atom
relative energy among the computed polymorphs	0.736	eV per formula unit

a b c (Å): 2.7651 4.9610 5.2379
angles (deg): 90.00 96.31 90.00
With the nearest neighbours (Å) after each atom.
Space group P2/m (No. 10)
Asymmetric unit:
Zr  0.0000  0.0000  0.0000 (multiplicity 1)  2 Zr 2.77, 4 Ag 2.82-3.09, 4 W 2.92
Ag  0.5000  0.0000  0.5000 (multiplicity 1)  2 Ag 2.77, 4 Zr 2.82-3.09, 4 W 2.92
W  0.2830  0.5000  0.7605 (multiplicity 2)  3 W 2.66-2.77, 2 Zr 2.92, 2 Ag 2.92